Sc2Rh: optimized geometry, PBE.

Structure (POSCAR):
```
Sc2Rh
1.0
-2.698 -5.007 -2.925
3.658 1.034 -5.144
4.500 -3.843 2.427
Rh Sc
4 8
Direct
0.500 0.500 0.000
0.000 0.500 0.500
0.000 0.000 0.000
0.500 0.000 0.500
0.165 0.835 0.335
0.335 0.335 0.335
0.835 0.335 0.165
0.665 0.835 0.165
0.165 0.665 0.835
0.335 0.165 0.835
0.665 0.665 0.665
0.835 0.165 0.665
```

Values from the calculation:
- E_tot (eV per atom) = -7.25
- D(E_F) (states/eV/atom) = 0.6184
- ΔH_f (0 K) (kJ/mol of formula units) = -167
- total magnetic moment (μB/f.u.) = 0.0

=====

Cu3Se2S: optimized geometry, PBE.

Structure (POSCAR):
```
Cu3Se2S
1.0
6.512 -0.006 -1.113
-3.536 5.468 -1.113
0.012 0.023 6.625
Se S Cu
4 2 6
Direct
0.593 0.427 0.006
0.765 0.262 0.507
0.427 0.593 0.506
0.262 0.765 0.007
0.933 0.095 0.011
0.095 0.933 0.511
0.050 0.201 0.371
0.571 0.738 0.887
0.738 0.571 0.387
0.889 0.371 0.888
0.371 0.889 0.388
0.201 0.050 0.871
```

Values from the calculation:
- E_tot (eV per atom) = -4.05
- polymorph energy (0 for the lowest one) (eV per atom) = 0.000
- D(E_F) (states/eV/atom) = 0.7638
- total magnetic moment (μB/f.u.) = 0.0
- raw formation energy (eV/f.u.) = -0.92

=====

Pm2ErAl2: optimized geometry, PBE.

Structure (POSCAR):
```
Pm2ErAl2
1.0
4.468 0.000 2.003
1.685 5.097 2.226
0.085 -0.420 5.795
Al Pm Er
2 2 1
Direct
0.500 0.301 0.699
0.500 0.699 0.301
0.802 0.698 0.698
0.198 0.302 0.302
0.000 0.000 0.000
```

Values from the calculation:
- E_tot (eV per atom) = -4.62
- polymorph energy (0 for the lowest one) (eV per atom) = 0.000
- D(E_F) (states/eV/atom) = 0.8915
- ΔH_f (0 K) (kJ/mol of formula units) = -152
- total magnetic moment (μB/f.u.) = 0.0

=====

RbHg2Au: optimized geometry, PBE.

Structure (POSCAR):
```
RbHg2Au
1.0
-1.439 4.685 2.826
-5.414 -1.641 -0.038
-2.073 -3.141 9.814
Hg Au Rb
4 2 2
Direct
0.375 0.216 0.750
0.784 0.125 0.250
0.966 0.625 0.250
0.875 0.034 0.750
0.750 0.250 0.500
0.000 0.000 0.000
0.250 0.750 0.500
0.500 0.500 0.000
```

Values from the calculation:
- E_tot (eV per atom) = -1.36
- polymorph energy (0 for the lowest one) (eV per atom) = 0.108
- D(E_F) (states/eV/atom) = 0.2754
- ΔH_f (0 K) (kJ/mol of formula units) = -57
- total magnetic moment (μB/f.u.) = 0.0

=====

BaMn2Ir: optimized geometry, PBE.

Structure (POSCAR):
```
BaMn2Ir
1.0
6.128 0.425 -0.037
2.472 5.623 0.037
-3.393 -4.314 2.759
Mn Ir Ba
2 1 1
Direct
0.054 0.054 0.000
0.446 0.446 0.000
0.250 0.750 0.500
0.750 0.250 0.500
```

Values from the calculation:
- E_tot (eV per atom) = -6.73
- D(E_F) (states/eV/atom) = 0.8122
- ΔH_f (0 K) (kJ/mol of formula units) = 212
- total magnetic moment (μB/f.u.) = 8.6

=====

NaNi4Sb: optimized geometry, PBE.

Structure (POSCAR):
```
NaNi4Sb
1.0
4.908 0.000 0.000
2.454 4.251 0.000
2.454 1.417 4.008
Sb Ni Na
1 4 1
Direct
0.250 0.250 0.250
0.126 0.625 0.625
0.625 0.625 0.625
0.625 0.126 0.625
0.625 0.625 0.126
0.000 0.000 0.000
```

Values from the calculation:
- E_tot (eV per atom) = -4.70
- D(E_F) (states/eV/atom) = 0.7954
- total magnetic moment (μB/f.u.) = 0.0
- raw formation energy (eV/f.u.) = 0.34

=====

Ta4ReMo3: optimized geometry, PBE.

Structure (POSCAR):
```
Ta4ReMo3
1.0
-0.028 1.077 3.034
4.233 -1.579 0.600
3.379 7.992 -2.806
Ta Mo Re
4 3 1
Direct
0.000 0.500 0.248
0.000 0.000 0.500
0.000 0.500 0.752
0.000 0.000 0.000
0.500 0.000 0.249
0.500 0.000 0.751
0.500 0.500 0.500
0.500 0.500 0.000
```

Values from the calculation:
- E_tot (eV per atom) = -11.82
- D(E_F) (states/eV/atom) = 0.4881
- ΔH_f (0 K) (kJ/mol of formula units) = -212
- total magnetic moment (μB/f.u.) = 0.0

=====

Li12P3F5: optimized geometry, PBE.

Structure (POSCAR):
```
Li12P3F5
1.0
-9.016 3.164 5.877
4.228 -9.407 4.413
7.740 8.111 0.369
Li F P
48 20 12
Direct
0.123 0.416 0.098
0.377 0.402 0.084
0.416 0.123 0.598
0.182 0.098 0.975
0.025 0.623 0.707
0.475 0.682 0.098
0.025 0.402 0.818
0.818 0.916 0.293
0.084 0.902 0.377
0.916 0.818 0.793
0.123 0.707 0.525
0.293 0.877 0.975
0.293 0.416 0.818
0.598 0.623 0.416
0.902 0.084 0.877
0.902 0.818 0.525
0.182 0.084 0.707
0.318 0.525 0.402
0.416 0.293 0.318
0.584 0.707 0.682
0.793 0.318 0.916
0.525 0.207 0.123
0.877 0.293 0.475
0.818 0.902 0.025
0.475 0.793 0.877
0.598 0.975 0.682
0.525 0.318 0.902
0.975 0.377 0.293
0.707 0.123 0.025
0.207 0.525 0.623
0.584 0.877 0.402
0.623 0.598 0.916
0.916 0.098 0.623
0.402 0.025 0.318
0.207 0.682 0.084
0.098 0.182 0.475
0.877 0.584 0.902
0.377 0.975 0.793
0.682 0.475 0.598
0.707 0.584 0.182
0.402 0.377 0.584
0.793 0.475 0.377
0.098 0.916 0.123
0.682 0.207 0.584
0.623 0.025 0.207
0.975 0.598 0.182
0.318 0.793 0.416
0.084 0.182 0.207
0.250 0.875 0.125
0.000 0.000 0.500
0.875 0.625 0.750
0.375 0.125 0.750
0.500 0.500 0.500
0.500 0.500 0.000
0.125 0.750 0.375
0.750 0.625 0.375
0.875 0.250 0.625
0.500 0.000 0.500
0.125 0.375 0.250
0.750 0.125 0.875
0.625 0.875 0.250
0.625 0.750 0.875
0.375 0.250 0.125
0.000 0.500 0.500
0.000 0.500 0.000
0.250 0.375 0.625
0.500 0.000 0.000
0.000 0.000 0.000
0.625 0.375 0.750
0.125 0.875 0.750
0.875 0.125 0.250
0.375 0.625 0.250
0.375 0.750 0.625
0.875 0.750 0.125
0.250 0.125 0.375
0.750 0.875 0.625
0.250 0.625 0.875
0.625 0.250 0.375
0.750 0.375 0.125
0.125 0.250 0.875
```

Values from the calculation:
- E_tot (eV per atom) = -4.06
- D(E_F) (states/eV/atom) = 0.0787
- total magnetic moment (μB/f.u.) = 0.0
- raw formation energy (eV/f.u.) = -32.58

=====

In2Sn2Pb7: optimized geometry, PBE.

Structure (POSCAR):
```
In2Sn2Pb7
1.0
-0.477 -6.545 5.514
4.364 -2.516 -3.848
4.076 3.543 3.319
Sn Pb In
2 7 2
Direct
0.500 0.677 0.323
0.500 0.323 0.677
0.199 0.931 0.549
0.801 0.069 0.451
0.000 0.000 0.000
0.801 0.451 0.069
0.199 0.549 0.931
0.589 0.841 0.841
0.411 0.159 0.159
0.854 0.594 0.594
0.146 0.406 0.406
```

Values from the calculation:
- E_tot (eV per atom) = -3.53
- D(E_F) (states/eV/atom) = 0.5356
- ΔH_f (0 K) (kJ/mol of formula units) = 57
- total magnetic moment (μB/f.u.) = 0.0